1.
Below is an optimized crystal structure of Be2InAu2, with properties calculated at the PBEsol level.

Cell: 3.483 3.483 6.764 Å, 104.92 104.92 90.00°
Atoms (fractional coordinates):
Au  0.375  0.375  0.751
Be  0.250  0.750  0.500
Au  0.625  0.625  0.249
Be  0.750  0.250  0.500
In  0.000  0.000  0.000

SG: No. 139
spin magnetization: 0.00 μB/cell
energy: -19.48 eV for the cell shown

=====

2.
Below is an optimized crystal structure of Be2InAu, with properties calculated at the PBEsol level.

Cell: 3.124 3.124 5.878 Å, 90.00 90.00 90.00°
Atoms (fractional coordinates):
Be  0.000  0.000  0.301
In  0.500  0.500  0.000
Be  0.000  0.000  0.699
Au  0.500  0.500  0.500

SG: No. 123
spin magnetization: 0.00 μB/cell
energy: -14.25 eV for the cell shown

=====

3.
Below is an optimized crystal structure of BeIn2Au, with properties calculated at the PBEsol level.

Cell: 3.658 4.608 4.608 Å, 108.30 90.00 90.00°
Atoms (fractional coordinates):
Be  0.500  0.500  0.500
In  0.000  0.000  0.500
Au  0.500  0.000  0.000
In  0.000  0.500  0.000

SG: No. 65
spin magnetization: 0.00 μB/cell
energy: -13.04 eV for the cell shown

=====

4.
Below is an optimized crystal structure of BeInAu2, with properties calculated at the PBEsol level.

Cell: 4.517 4.517 4.517 Å, 60.00 60.00 60.00°
Atoms (fractional coordinates):
In  0.500  0.500  0.500
Au  0.250  0.250  0.250
Au  0.750  0.750  0.750
Be  0.000  0.000  0.000

SG: No. 225
spin magnetization: 0.00 μB/cell
energy: -14.66 eV for the cell shown

=====

5.
Below is an optimized crystal structure of BeInSi2Au, with properties calculated at the PBEsol level.

Cell: 4.270 4.270 4.823 Å, 90.00 90.00 90.00°
Atoms (fractional coordinates):
Au  0.500  0.500  0.500
Si  0.000  0.500  0.000
Be  0.000  0.000  0.000
In  0.000  0.000  0.500
Si  0.500  0.000  0.000

SG: No. 123
spin magnetization: 0.00 μB/cell
energy: -19.64 eV for the cell shown

=====

6.
Below is an optimized crystal structure of Be2TlInAu, with properties calculated at the PBEsol level.

Cell: 4.480 4.480 5.227 Å, 90.00 90.00 90.00°
Atoms (fractional coordinates):
Be  0.000  0.500  0.000
In  0.000  0.000  0.500
Tl  0.500  0.500  0.500
Au  0.000  0.000  0.000
Be  0.500  0.000  0.000

SG: No. 123
spin magnetization: 0.00 μB/cell
energy: -15.59 eV for the cell shown

=====

7.
Below is an optimized crystal structure of BeIr2Au, with properties calculated at the PBEsol level.

Cell: 2.688 2.688 8.632 Å, 90.00 90.00 118.47°
Atoms (fractional coordinates):
Ir  0.000  0.000  0.789
Ir  0.000  0.000  0.211
Au  0.500  0.500  0.500
Be  0.500  0.500  0.000

SG: No. 65
spin magnetization: 0.00 μB/cell
energy: -27.33 eV for the cell shown

=====

8.
Below is an optimized crystal structure of K2BeIrAu, with properties calculated at the PBEsol level.

Cell: 4.131 5.837 5.837 Å, 90.00 90.00 90.00°
Site moments in Bohr magnetons follow the coordinates.
Atoms (fractional coordinates):
Au  0.500  0.500  0.500  0.04
Be  0.000  0.000  0.000  -0.01
K  0.000  0.000  0.500  0.00
K  0.000  0.500  0.000  0.00
Ir  0.500  0.000  0.000  0.61

SG: No. 123
spin magnetization: 0.70 μB/cell
energy: -16.03 eV for the cell shown

=====

Repeat the eighth record exactly.
Below is an optimized crystal structure of K2BeIrAu, with properties calculated at the PBEsol level.

Cell: 4.131 5.837 5.837 Å, 90.00 90.00 90.00°
Site moments in Bohr magnetons follow the coordinates.
Atoms (fractional coordinates):
Au  0.500  0.500  0.500  0.04
Be  0.000  0.000  0.000  -0.01
K  0.000  0.000  0.500  0.00
K  0.000  0.500  0.000  0.00
Ir  0.500  0.000  0.000  0.61

SG: No. 123
spin magnetization: 0.70 μB/cell
energy: -16.03 eV for the cell shown